(1)
BaLaAu2 | PBE | relaxed

abc: 5.547 5.547 3.833
angles: 90.00 90.00 90.00
Element x y z (fractional)
Ba (0.000, 0.000, 0.000)
La (0.500, 0.500, 0.000)
Au (0.000, 0.500, 0.500)
Au (0.500, 0.000, 0.500)

Values from the calculation:
SG: P4/mmm, No. 123
ΔE_f, eV per atom: -0.6795

***

(2)
La12NiHg6 | PBE | relaxed

abc: 8.589 8.589 8.589
angles: 94.19 94.19 94.19
Element x y z (fractional)
La (0.027, 0.683, 0.919)
La (0.081, 0.973, 0.317)
La (0.195, 0.539, 0.425)
La (0.317, 0.081, 0.973)
La (0.425, 0.195, 0.539)
La (0.461, 0.575, 0.805)
La (0.539, 0.425, 0.195)
La (0.575, 0.805, 0.461)
La (0.683, 0.919, 0.027)
La (0.805, 0.461, 0.575)
La (0.919, 0.027, 0.683)
La (0.973, 0.317, 0.081)
Ni (0.000, 0.000, 0.000)
Hg (0.147, 0.345, 0.740)
Hg (0.260, 0.853, 0.655)
Hg (0.345, 0.740, 0.147)
Hg (0.655, 0.260, 0.853)
Hg (0.740, 0.147, 0.345)
Hg (0.853, 0.655, 0.260)

Values from the calculation:
SG: R-3, No. 148
ΔE_f, eV per atom: -0.2606

***

(3)
Cs2HgPdBr | PBE | relaxed

abc: 6.553 6.553 5.283
angles: 90.00 90.00 90.00
Element x y z (fractional)
Cs (0.000, 0.500, 0.000)
Cs (0.500, 0.000, 0.000)
Hg (0.000, 0.000, 0.500)
Pd (0.000, 0.000, 0.000)
Br (0.500, 0.500, 0.500)

Values from the calculation:
SG: P4/mmm, No. 123
E_form (uncorrected), eV/atom: -0.67

***

(4)
La2ZnIn | PBE | relaxed

abc: 5.372 5.372 5.372
angles: 60.00 60.00 60.00
Element x y z (fractional)
La (0.000, 0.000, 0.000)
La (0.250, 0.250, 0.250)
Zn (0.500, 0.500, 0.500)
In (0.750, 0.750, 0.750)

Values from the calculation:
SG: F-43m, No. 216
ΔE_f, eV per atom: 0.0029

***

(5)
Ho2OsRh | PBE | relaxed

abc: 4.808 4.808 4.808
angles: 60.00 60.00 60.00
Element x y z (fractional)
Ho (0.250, 0.250, 0.250)
Ho (0.750, 0.750, 0.750)
Os (0.000, 0.000, 0.000)
Rh (0.500, 0.500, 0.500)

Values from the calculation:
SG: Fm-3m, No. 225
ΔE_f, eV per atom: -0.5149

***

(6)
Tl4CrI6 | PBE | relaxed

abc: 9.298 9.298 9.851
angles: 90.00 90.00 90.00
Element x y z (fractional)
Tl (0.151, 0.349, 0.250)
Tl (0.151, 0.349, 0.750)
Tl (0.349, 0.849, 0.250)
Tl (0.349, 0.849, 0.750)
Tl (0.651, 0.151, 0.250)
Tl (0.651, 0.151, 0.750)
Tl (0.849, 0.651, 0.250)
Tl (0.849, 0.651, 0.750)
Cr (0.000, 0.000, 0.000)
Cr (0.500, 0.500, 0.500)
I (0.000, 0.000, 0.280)
I (0.000, 0.000, 0.720)
I (0.132, 0.704, 0.000)
I (0.204, 0.632, 0.500)
I (0.296, 0.132, 0.000)
I (0.368, 0.204, 0.500)
I (0.500, 0.500, 0.220)
I (0.500, 0.500, 0.780)
I (0.632, 0.796, 0.500)
I (0.704, 0.868, 0.000)
I (0.796, 0.368, 0.500)
I (0.868, 0.296, 0.000)

Values from the calculation:
SG: P4/mnc, No. 128
E_form (uncorrected), eV/atom: -0.54

***

(7)
MoPIr2 | PBE | relaxed

abc: 2.876 2.876 6.850
angles: 90.00 90.00 90.00
Element x y z (fractional)
Mo (0.000, 0.000, 0.000)
P (0.500, 0.500, 0.233)
Ir (0.000, 0.000, 0.433)
Ir (0.500, 0.500, 0.747)

Values from the calculation:
SG: P4mm, No. 99
ΔE_f, eV per atom: -0.2116

***

(8)
Mg2CdGa6 | PBE | relaxed

abc: 8.095 8.095 3.102
angles: 90.00 90.00 120.00
Element x y z (fractional)
Mg (0.333, 0.667, 0.000)
Mg (0.667, 0.333, 0.000)
Cd (0.000, 0.000, 0.000)
Ga (0.000, 0.335, 0.500)
Ga (0.000, 0.665, 0.500)
Ga (0.335, 0.000, 0.500)
Ga (0.335, 0.335, 0.500)
Ga (0.665, 0.000, 0.500)
Ga (0.665, 0.665, 0.500)

Values from the calculation:
SG: P6/mmm, No. 191
ΔE_f, eV per atom: -0.0304
Distance to the lowest polymorph of the same formula, eV per atom: 0.000

***

(9)
Dy7YTm2 | PBE | relaxed

abc: 6.120 7.064 7.905
angles: 77.01 75.02 73.18
Element x y z (fractional)
Dy (0.000, 0.000, 0.000)
Dy (0.200, 0.300, 0.598)
Dy (0.400, 0.600, 0.201)
Dy (0.402, 0.099, 0.200)
Dy (0.598, 0.901, 0.800)
Dy (0.600, 0.400, 0.799)
Dy (0.800, 0.700, 0.402)
Y (0.000, 0.500, 0.000)
Tm (0.199, 0.801, 0.599)
Tm (0.801, 0.199, 0.401)

Values from the calculation:
SG: P-1, No. 2
ΔE_f, eV per atom: 0.0194
Distance to the lowest polymorph of the same formula, eV per atom: 0.000

***

(10)
La3Sm2TmSe6 | PBE | relaxed

abc: 7.286 7.286 7.340
angles: 99.52 99.52 120.15
Element x y z (fractional)
La (0.000, 0.000, 0.000)
La (0.329, 0.671, 0.000)
La (0.671, 0.329, 0.000)
Sm (0.167, 0.833, 0.500)
Sm (0.833, 0.167, 0.500)
Tm (0.500, 0.500, 0.500)
Se (0.098, 0.422, 0.266)
Se (0.255, 0.255, 0.738)
Se (0.422, 0.098, 0.266)
Se (0.578, 0.902, 0.734)
Se (0.745, 0.745, 0.262)
Se (0.902, 0.578, 0.734)

Values from the calculation:
SG: C2/m, No. 12
E_form (uncorrected), eV/atom: -1.89

***

(11)
NaIn16Hg12 | PBE | relaxed

abc: 9.753 9.753 9.537
angles: 105.97 105.97 107.01
Element x y z (fractional)
Na (0.000, 0.000, 0.000)
In (0.003, 0.413, 0.607)
In (0.022, 0.022, 0.639)
In (0.114, 0.410, 0.300)
In (0.122, 0.702, 0.987)
In (0.283, 0.283, 0.582)
In (0.300, 0.983, 0.892)
In (0.360, 0.682, 0.693)
In (0.372, 0.713, 0.308)
In (0.410, 0.114, 0.300)
In (0.413, 0.003, 0.607)
In (0.680, 0.680, 0.937)
In (0.682, 0.360, 0.693)
In (0.702, 0.122, 0.987)
In (0.713, 0.372, 0.308)
In (0.716, 0.716, 0.319)
In (0.983, 0.300, 0.892)
Hg (0.068, 0.711, 0.491)
Hg (0.098, 0.906, 0.289)
Hg (0.296, 0.296, 0.106)
Hg (0.323, 0.518, 0.927)
Hg (0.503, 0.503, 0.471)
Hg (0.518, 0.323, 0.927)
Hg (0.531, 0.886, 0.111)
Hg (0.683, 0.875, 0.698)
Hg (0.711, 0.068, 0.491)
Hg (0.875, 0.683, 0.698)
Hg (0.886, 0.531, 0.111)
Hg (0.906, 0.098, 0.289)

Values from the calculation:
SG: Cm, No. 8
ΔE_f, eV per atom: -0.0017

***

(12)
RbLaN2 | PBE | relaxed

abc: 4.627 4.627 4.627
angles: 60.00 60.00 60.00
Element x y z (fractional)
Rb (0.000, 0.000, 0.000)
La (0.500, 0.500, 0.500)
N (0.250, 0.250, 0.250)
N (0.750, 0.750, 0.750)

Values from the calculation:
SG: Fm-3m, No. 225
Distance to the lowest polymorph of the same formula, eV per atom: 0.372
E_form (uncorrected), eV/atom: 0.44

***

Calculated volume values (in A^3/atom) by entry order: 29.5; 33.1; 45.4; 27.4; 19.7; 38.7; 14.2; 19.6; 31.2; 26.5; 26.5; 17.5.